Entry 1:
# Pm8Al2In

Crystalline Pm8Al2In at its relaxed geometry (PBE, the Alexandria database).

Unit cell a=5.018 b=8.192 c=8.936 alpha=110.99 beta=106.31 gamma=90.00
Sites, in units of the cell vectors:
1 Pm 0.320 0.055 0.639
2 Pm 0.150 0.219 0.300
3 Pm 0.946 0.271 0.891
4 Pm 0.680 0.945 0.361
5 Pm 0.606 0.459 0.211
6 Pm 0.394 0.541 0.789
7 Al 0.222 0.650 0.444
8 In 0.500 0.000 0.000
9 Pm 0.054 0.729 0.109
10 Al 0.778 0.350 0.556
11 Pm 0.850 0.781 0.700

Computed properties:
energy	-50.49	eV/cell
density	6.75	Mg/m³

Entry 2:
# PmAlIn2

Crystalline PmAlIn2 at its relaxed geometry (PBE, the Alexandria database).

Unit cell a=4.655 b=4.655 c=6.088 alpha=67.52 beta=67.52 gamma=60.00
Sites, in units of the cell vectors:
1 Al 0.000 0.000 0.000
2 In 0.273 0.273 0.180
3 Pm 0.500 0.500 0.500
4 In 0.727 0.727 0.820

Computed properties:
energy	-14.87	eV/cell
density	6.50	Mg/m³

Entry 3:
# Pm6Al2In

Crystalline Pm6Al2In at its relaxed geometry (PBE, the Alexandria database).

Unit cell a=8.938 b=8.938 c=8.938 alpha=105.10 beta=112.02 gamma=111.38
Sites, in units of the cell vectors:
1 Pm 0.909 0.724 0.185
2 Pm 0.091 0.276 0.815
3 Pm 0.797 0.243 0.040
4 Pm 0.712 0.391 0.679
5 Pm 0.797 0.757 0.554
6 Pm 0.712 0.033 0.321
7 In 0.000 0.500 0.500
8 Pm 0.288 0.609 0.321
9 Al 0.500 0.379 0.879
10 Pm 0.203 0.757 0.960
11 Pm 0.203 0.243 0.446
12 Pm 0.539 0.724 0.815
13 In 0.000 0.000 0.000
14 Al 0.638 0.000 0.638
15 Al 0.500 0.621 0.121
16 Pm 0.288 0.967 0.679
17 Al 0.362 0.000 0.362
18 Pm 0.461 0.276 0.185

Computed properties:
energy	-82.31	eV/cell
density	6.30	Mg/m³

Entry 4:
# PmAl2In

Crystalline PmAl2In at its relaxed geometry (PBE, the Alexandria database).

Unit cell a=4.382 b=4.503 c=4.503 alpha=90.00 beta=90.00 gamma=90.00
Sites, in units of the cell vectors:
1 Al 0.000 0.000 0.500
2 Pm 0.500 0.500 0.500
3 In 0.500 0.000 0.000
4 Al 0.000 0.500 0.000

Computed properties:
energy	-16.49	eV/cell
density	5.86	Mg/m³

Entry 5:
# PmAlIn2

Crystalline PmAlIn2 at its relaxed geometry (PBE, the Alexandria database).

Unit cell a=4.636 b=4.559 c=4.559 alpha=90.00 beta=90.00 gamma=90.00
Sites, in units of the cell vectors:
1 In 0.000 0.000 0.500
2 Al 0.500 0.500 0.500
3 Pm 0.500 0.000 0.000
4 In 0.000 0.500 0.000

Computed properties:
energy	-15.59	eV/cell
density	6.92	Mg/m³

Entry 6:
# Pm6Al5In

Crystalline Pm6Al5In at its relaxed geometry (PBE, the Alexandria database).

Unit cell a=5.267 b=7.468 c=9.124 alpha=114.16 beta=106.78 gamma=90.00
Sites, in units of the cell vectors:
1 Al 0.000 0.500 0.000
2 Al 0.667 0.667 0.333
3 Pm 0.169 0.916 0.338
4 Al 0.333 0.333 0.667
5 Pm 0.831 0.084 0.662
6 Pm 0.500 0.744 0.000
7 Pm 0.500 0.256 0.000
8 Pm 0.831 0.578 0.662
9 Al 0.664 0.164 0.328
10 Pm 0.169 0.422 0.338
11 Al 0.336 0.836 0.672
12 In 0.000 0.000 0.000

Computed properties:
energy	-54.55	eV/cell
density	5.99	Mg/m³

| no. | total magnetic moment (μB per formula unit) | DFT formation energy (kJ/mol of formula units) |
| --- | --- | --- |
| 1 | 0.00 | -218 |
| 2 | 0.00 | -86 |
| 3 | 0.00 | -234 |
| 4 | 0.00 | -146 |
| 5 | 0.00 | -156 |
| 6 | 0.00 | -443 |